DFT (GGA-PBE) results for an optimized crystal structure of LaRe.

Geometry as POSCAR:
```
LaRe
1.0
5.057 0.000 0.000
-2.529 4.380 0.000
0.000 0.000 4.903
La Re
2 2
Cartesian
0.000 2.920 1.226 La
2.529 1.460 3.677 La
0.000 0.000 0.000 Re
0.000 0.000 2.452 Re
```

Calculated values
size of the total moment	0.0	Bohr magnetons per cell
electronic total energy	-8.341	eV/atom
symmetry	P6_3/mmc (194)



DFT (GGA-PBE) results for an optimized crystal structure of NbPbNO2.

Geometry as POSCAR:
```
NbPbNO2
1.0
-2.198 3.461 0.921
-1.827 -0.154 -3.781
-3.156 -2.437 1.624
Pb Nb O N
1 1 2 1
Cartesian
0.000 0.000 0.000 Pb
-3.591 0.435 -0.618 Nb
-0.913 -0.077 -1.891 O
-1.099 1.730 0.461 O
-1.578 -1.218 0.812 N
```

Calculated values
uncorrected formation energy	58.1	kJ per mole of atoms
size of the total moment	1.9	Bohr magnetons per cell
symmetry	P4/mmm (123)



DFT (GGA-PBE) results for an optimized crystal structure of AlPbS2.

Geometry as POSCAR:
```
AlPbS2
1.0
3.057 -1.765 0.000
0.000 3.530 0.000
0.000 0.000 8.017
Pb S Al
1 2 1
Cartesian
1.019 1.765 3.839 Pb
1.019 1.765 6.641 S
2.038 0.000 1.256 S
0.000 0.000 7.946 Al
```

Calculated values
uncorrected formation energy	-72.4	kJ per mole of atoms
size of the total moment	0.0	Bohr magnetons per cell
symmetry	P3m1 (156)



DFT (GGA-PBE) results for an optimized crystal structure of Np2CrCoN5.

Geometry as POSCAR:
```
Np2CrCoN5
1.0
3.144 0.000 0.000
-1.572 6.234 0.000
0.000 0.000 9.816
Np Cr Co N
4 2 2 10
Cartesian
1.572 4.355 7.954 Np
0.000 1.256 6.645 Np
0.000 1.878 3.046 Np
1.572 4.978 1.737 Np
1.572 3.707 5.088 Cr
0.000 2.527 0.180 Cr
1.572 0.397 9.365 Co
0.000 5.837 4.457 Co
0.000 4.605 9.796 N
1.572 2.242 8.598 N
0.000 6.046 7.580 N
0.000 3.482 6.432 N
1.572 5.513 5.528 N
1.572 1.628 4.888 N
0.000 3.991 3.690 N
1.572 0.188 2.672 N
1.572 2.752 1.524 N
0.000 0.721 0.620 N
```

Calculated values
uncorrected formation energy	-64.8	kJ per mole of atoms
size of the total moment	12.4	Bohr magnetons per cell
symmetry	Cmc2_1 (36)



DFT (GGA-PBE) results for an optimized crystal structure of AcNd8Sm6.

Geometry as POSCAR:
```
AcNd8Sm6
1.0
8.092 -0.021 3.465
2.278 7.765 3.465
-0.028 -0.021 8.803
Ac Nd Sm
1 8 6
Cartesian
0.000 0.000 0.000 Ac
2.684 4.439 10.356 Nd
2.826 6.411 7.020 Nd
3.688 0.889 9.163 Nd
7.895 5.896 12.011 Nd
2.447 1.827 3.723 Nd
6.654 6.834 6.570 Nd
7.516 1.313 8.714 Nd
7.658 3.284 5.378 Nd
1.682 2.919 7.369 Sm
4.877 6.940 9.803 Sm
5.811 2.705 11.267 Sm
4.531 5.018 4.466 Sm
5.466 0.784 5.931 Sm
8.660 4.804 8.365 Sm
```

Calculated values
size of the total moment	0.0	Bohr magnetons per cell
electronic total energy	-4.475	eV/atom
symmetry	R-3 (148)



DFT (GGA-PBE) results for an optimized crystal structure of PmNd2Y4Ho2.

Geometry as POSCAR:
```
PmNd2Y4Ho2
1.0
-4.179 3.551 -4.098
-2.747 -3.610 -8.949
-1.631 -3.135 5.653
Pm Nd Y Ho
1 2 4 2
Cartesian
0.000 0.000 0.000 Pm
-3.915 -3.296 -3.567 Nd
-4.642 0.102 -3.827 Nd
-5.864 -1.199 -9.802 Y
-5.481 -2.138 -6.461 Y
-2.693 -1.995 2.408 Y
-3.076 -1.056 -0.933 Y
-4.713 1.192 -7.165 Ho
-3.844 -4.386 -0.229 Ho
```

Calculated values
size of the total moment	0.0	Bohr magnetons per cell
electronic total energy	-5.399	eV/atom
symmetry	P-1 (2)



DFT (GGA-PBE) results for an optimized crystal structure of PmAl4IrPt2.

Geometry as POSCAR:
```
PmAl4IrPt2
1.0
-1.501 -3.713 -1.462
2.698 -3.154 -0.978
-0.155 -5.356 7.546
Pm Al Ir Pt
1 4 1 2
Cartesian
0.000 0.000 0.000 Pm
0.360 -6.998 4.970 Al
0.974 -8.095 0.909 Al
0.067 -4.127 4.198 Al
0.681 -5.225 0.137 Al
0.521 -6.111 2.553 Ir
0.808 -9.016 3.419 Pt
0.233 -3.207 1.688 Pt
```

Calculated values
size of the total moment	0.0	Bohr magnetons per cell
electronic total energy	-5.980	eV/atom
symmetry	R-3m (166)



DFT (GGA-PBE) results for an optimized crystal structure of LaY3Ho5.

Geometry as POSCAR:
```
LaY3Ho5
1.0
0.720 -10.004 -1.016
5.969 -8.029 1.237
-2.123 -5.321 9.611
La Y Ho
2 6 10
Cartesian
-0.139 -13.719 6.507 La
4.705 -9.635 3.325 La
0.000 0.000 0.000 Y
2.831 -7.223 4.174 Y
-1.061 -2.661 4.806 Y
1.735 -16.132 5.658 Y
-1.105 -10.965 7.746 Y
5.671 -12.390 2.086 Y
2.406 -12.762 7.599 Ho
1.170 -17.713 8.947 Ho
0.566 -7.570 1.413 Ho
3.396 -5.641 0.886 Ho
2.534 -14.075 2.529 Ho
2.160 -10.593 2.233 Ho
4.726 -14.114 5.212 Ho
-0.161 -9.241 4.620 Ho
2.032 -9.280 7.304 Ho
4.000 -15.784 8.419 Ho
```

Calculated values
size of the total moment	0.0	Bohr magnetons per cell
electronic total energy	-4.910	eV/atom
symmetry	C2/c (15)



DFT (GGA-PBE) results for an optimized crystal structure of Y2HgPb.

Geometry as POSCAR:
```
Y2HgPb
1.0
5.995 -1.976 -3.311
-1.710 6.076 3.311
-4.226 0.127 5.739
Y Hg Pb
2 1 1
Cartesian
-1.440 1.505 2.196 Y
-4.496 4.698 6.854 Y
0.000 0.000 0.000 Hg
-2.968 3.102 4.525 Pb
```

Calculated values
size of the total moment	0.0	Bohr magnetons per cell
electronic total energy	-4.081	eV/atom
symmetry	Immm (71)



DFT (GGA-PBE) results for an optimized crystal structure of LaTb2Pr8.

Geometry as POSCAR:
```
LaTb2Pr8
1.0
5.500 0.000 -1.670
-1.038 7.688 -3.419
-0.089 -0.419 9.596
La Tb Pr
1 2 8
Cartesian
2.750 0.000 -0.835 La
0.337 5.214 1.110 Tb
4.035 2.056 3.397 Tb
2.618 6.370 -1.268 Pr
1.330 4.034 4.381 Pr
0.693 1.108 2.281 Pr
5.105 1.843 6.920 Pr
3.679 6.161 2.226 Pr
3.042 3.236 0.126 Pr
1.753 0.899 5.774 Pr
-0.733 5.427 -2.413 Pr
```

Calculated values
size of the total moment	0.0	Bohr magnetons per cell
electronic total energy	-4.665	eV/atom
symmetry	Immm (71)



Please write out number 1 again, unchanged.
DFT (GGA-PBE) results for an optimized crystal structure of LaRe.

Geometry as POSCAR:
```
LaRe
1.0
5.057 0.000 0.000
-2.529 4.380 0.000
0.000 0.000 4.903
La Re
2 2
Cartesian
0.000 2.920 1.226 La
2.529 1.460 3.677 La
0.000 0.000 0.000 Re
0.000 0.000 2.452 Re
```

Calculated values
size of the total moment	0.0	Bohr magnetons per cell
electronic total energy	-8.341	eV/atom
symmetry	P6_3/mmc (194)